Material: AsBr3
Method: DFT, PBE
State: relaxed

## Properties
Space group = Cmmm (65)
ΔE_f (raw) = 624 meV per atom
Volume = 24.5 A^3/atom

Cell lengths 5.192, 5.192, 3.655 Å; angles 90.00, 90.00, 96.53 degrees
Atoms (fractional coordinates):
As 0.000 0.000 0.000
Br 0.000 0.500 0.500
Br 0.500 0.000 0.500
Br 0.500 0.500 0.000